! KCrClO3 | Alexandria | GGA+U | relaxed; values from VASP
! Symmetry   P2_1/c, No. 14
! Energy   -5.59 eV per atom
&SYSTEM
  ibrav = 0, nat = 24, ntyp = 4
/
ATOMIC_SPECIES
Cl 35.45 Cl.upf
Cr 52.00 Cr.upf
O 16.00 O.upf
K 39.10 K.upf
CELL_PARAMETERS angstrom
-6.016 -4.265 0.644
0.985 -2.515 -7.451
4.920 -6.592 2.305
ATOMIC_POSITIONS angstrom
Cl -1.160 -1.946 -0.866
Cl -0.443 -3.044 -4.616
Cl 0.333 -10.328 0.114
Cl 1.050 -11.427 -3.635
Cr -0.921 -10.703 -4.197
Cr -0.318 -5.077 -3.857
Cr 0.208 -8.296 -0.645
Cr 0.810 -2.670 -0.305
O -3.578 -8.465 -5.990
O 0.635 -4.183 0.283
O 1.178 -8.137 -1.940
O 3.467 -4.907 1.488
O -4.228 -6.952 -0.964
O 4.118 -6.421 -3.537
O -0.801 -6.129 -5.004
O -0.746 -9.190 -4.785
O -1.348 -8.010 -1.048
O -1.288 -5.235 -2.562
O 1.238 -5.363 -3.454
O 0.690 -7.244 0.502
K 2.802 -5.882 -1.039
K -2.912 -7.491 -3.463
K 1.946 -8.095 -4.620
K -2.057 -5.278 0.118